[1]
A plane-wave DFT calculation with GGA-PBE was carried out for Ba8SnSb3I4 after structural relaxation.

abc: 10.1566 10.1566 25.4368
angles: 90.00 90.00 120.00
Space group R-3m (No. 166, hexagonal axes)
Inequivalent atoms, fractional coordinates:
Ba 0.0000 0.0000 0.2382 x6
Ba 0.0018 0.5009 0.7601 x18
Sn 0.0000 0.0000 0.5000 x3
Sb 0.0000 0.5000 0.5000 x9
I 0.0000 0.0000 0.0000 x3
I 0.0000 0.5000 0.0000 x9

Results
formation energy (no corrections): -20.51 eV/f.u.

=====

[2]
A plane-wave DFT calculation with GGA-PBE was carried out for BaSnSb2I after structural relaxation.

abc: 5.676 5.676 6.291
angles: 90.00 90.00 90.00
Space group P4/mmm (No. 123)
Inequivalent atoms, fractional coordinates:
Ba 0.000 0.000 0.000 x1
Sn 0.500 0.500 0.500 x1
Sb 0.000 0.500 0.500 x2
I 0.500 0.500 0.000 x1

Results
formation energy (no corrections): -1.27 eV/f.u.

=====

[3]
A plane-wave DFT calculation with GGA-PBE was carried out for BaSnSb2I after structural relaxation.

abc: 6.385 6.385 6.363
angles: 90.00 90.00 90.00
Space group P4/mmm (No. 123)
Inequivalent atoms, fractional coordinates:
Ba 0.000 0.000 0.000 x1
Sn 0.500 0.500 0.500 x1
Sb 0.000 0.500 0.000 x2
I 0.000 0.000 0.500 x1

Results
formation energy (no corrections): 2.68 eV/f.u.

=====

[4]
A plane-wave DFT calculation with GGA-PBE was carried out for Ba6Sn2SbI3 after structural relaxation.

abc: 22.677 5.036 10.409
angles: 90.00 107.51 90.00
Space group C2/m (No. 12)
Inequivalent atoms, fractional coordinates:
Ba 0.009 0.000 0.232 x4
Ba 0.161 0.500 0.110 x4
Ba 0.169 0.500 0.583 x4
Sn 0.173 0.000 0.354 x4
Sb 0.000 0.500 0.000 x2
I 0.000 0.500 0.500 x2
I 0.165 0.000 0.845 x4

Results
formation energy (no corrections): -13.37 eV/f.u.

=====

[5]
A plane-wave DFT calculation with GGA-PBE was carried out for Ba4SnSbI2 after structural relaxation.

abc: 8.901 4.939 9.074
angles: 90.00 108.11 90.00
Space group P2/m (No. 10)
Inequivalent atoms, fractional coordinates:
Ba 0.238 0.000 0.217 x2
Ba 0.252 0.500 0.775 x2
Sn 0.500 0.000 0.000 x1
Sb 0.000 0.500 0.000 x1
I 0.000 0.000 0.500 x1
I 0.500 0.500 0.500 x1

Results
formation energy (no corrections): -9.40 eV/f.u.

=====

[6]
A plane-wave DFT calculation with GGA-PBE was carried out for BaSnSbI2 after structural relaxation.

abc: 6.042 6.042 5.874
angles: 90.00 90.00 90.00
Space group P4/mmm (No. 123)
Inequivalent atoms, fractional coordinates:
Ba 0.000 0.000 0.000 x1
Sn 0.500 0.500 0.500 x1
Sb 0.500 0.500 0.000 x1
I 0.000 0.500 0.500 x2

Results
formation energy (no corrections): -2.55 eV/f.u.

=====

[7]
A plane-wave DFT calculation with GGA-PBE was carried out for BaSrSb2I after structural relaxation.

abc: 6.193 6.193 6.476
angles: 90.00 90.00 90.00
Space group P4/mmm (No. 123)
Inequivalent atoms, fractional coordinates:
Ba 0.000 0.000 0.000 x1
Sr 0.500 0.500 0.500 x1
Sb 0.000 0.500 0.000 x2
I 0.000 0.000 0.500 x1

Results
formation energy (no corrections): -0.88 eV/f.u.

=====

[8]
A plane-wave DFT calculation with GGA-PBE was carried out for BaSrSb2I after structural relaxation.

abc: 6.043 6.043 6.259
angles: 90.00 90.00 90.00
Space group P4/mmm (No. 123)
Inequivalent atoms, fractional coordinates:
Ba 0.000 0.000 0.000 x1
Sr 0.500 0.500 0.500 x1
Sb 0.000 0.500 0.500 x2
I 0.500 0.500 0.000 x1

Results
formation energy (no corrections): -2.23 eV/f.u.

=====

[9]
A plane-wave DFT calculation with GGA-PBE was carried out for BaTaSbI2 after structural relaxation.

abc: 6.597 6.597 6.976
angles: 90.00 90.00 90.00
Space group P4/mmm (No. 123)
Inequivalent atoms, fractional coordinates:
Ba 0.000 0.000 0.000 x1
Ta 0.500 0.500 0.500 x1
Sb 0.000 0.000 0.500 x1
I 0.000 0.500 0.000 x2

Results
formation energy (no corrections): 5.40 eV/f.u.

=====

[10]
A plane-wave DFT calculation with GGA-PBE was carried out for BaTaSbI2 after structural relaxation.

abc: 5.732 5.732 5.470
angles: 90.00 90.00 90.00
Space group P4/mmm (No. 123)
Inequivalent atoms, fractional coordinates:
Ba 0.000 0.000 0.000 x1
Ta 0.500 0.500 0.500 x1
Sb 0.500 0.500 0.000 x1
I 0.000 0.500 0.500 x2

Results
formation energy (no corrections): -1.30 eV/f.u.

=====

[11]
A plane-wave DFT calculation with GGA-PBE was carried out for BaTcSb2I after structural relaxation.

abc: 5.172 5.172 6.046
angles: 90.00 90.00 90.00
Space group P4/mmm (No. 123)
Inequivalent atoms, fractional coordinates:
Ba 0.000 0.000 0.000 x1
Tc 0.500 0.500 0.500 x1
Sb 0.000 0.500 0.500 x2
I 0.500 0.500 0.000 x1

Results
formation energy (no corrections): -1.20 eV/f.u.

=====

[12]
A plane-wave DFT calculation with GGA-PBE was carried out for BaTcSb2I after structural relaxation.

abc: 6.494 6.494 6.419
angles: 90.00 90.00 90.00
Space group P4/mmm (No. 123)
Inequivalent atoms, fractional coordinates:
Ba 0.000 0.000 0.000 x1
Tc 0.500 0.500 0.500 x1
Sb 0.000 0.500 0.000 x2
I 0.000 0.000 0.500 x1

Results
formation energy (no corrections): 6.76 eV/f.u.